Record 1
This record from the Alexandria database describes a PBEsol-optimized structure of BeCo2WC. The functional is meta-GGA SCAN.

The space group is P4/mmm (No. 123) and the conventional cell measures 4.3358, 4.3358 and 4.3383 Å, with angles of 90.00, 90.00 and 90.00 degrees. Symmetry generates all atoms from Be at (0.0000, 0.0000, 0.0000), Co at (0.0000, 0.5000, 0.5000), W at (0.0000, 0.0000, 0.5000) and C at (0.5000, 0.5000, 0.0000).

For the energy of formation from the pure elements, the calculation gives 2.88 eV per atom.


Record 2
This record from the Alexandria database describes a PBEsol-optimized structure of BeCrIrC2. The functional is meta-GGA SCAN.

The space group is P4/mmm (No. 123) and the conventional cell measures 3.5821, 3.5821 and 3.8583 Å, with angles of 90.00, 90.00 and 90.00 degrees. Symmetry generates all atoms from Be at (0.0000, 0.0000, 0.0000), Cr at (0.0000, 0.0000, 0.5000), Ir at (0.5000, 0.5000, 0.5000) and C at (0.0000, 0.5000, 0.0000).

For the energy of formation from the pure elements, the calculation gives 2.03 eV per atom.


Number 1: calculated total energy -20.87 eV/atom. Number 2: calculated total energy -20.78 eV/atom.